#P
VASP calculation (PBE-GGA) on crystalline AcTiP2 at its relaxed geometry.

Unit cell a=3.410 b=3.410 c=6.787 alpha=90.00 beta=90.00 gamma=90.00
Element x y z (fractional)
1 Ac 0.000 0.000 0.000
2 Ti 0.000 0.000 0.500
3 P 0.500 0.500 0.311
4 P 0.500 0.500 0.689

Computed properties:
Volume = 78.9 Å³/cell
Total moment = 0.000 μB/atom
Space group = P4/mmm (123)
N(E_F) = 3.90 states/eV/f.u.

#Q
VASP calculation (PBE-GGA) on crystalline AcTiP2 at its relaxed geometry.

Unit cell a=3.922 b=3.922 c=19.760 alpha=90.00 beta=90.00 gamma=120.00
Element x y z (fractional)
1 Ac 0.000 0.000 0.000
2 Ac 0.333 0.667 0.667
3 Ac 0.667 0.333 0.333
4 Ti 0.000 0.000 0.500
5 Ti 0.333 0.667 0.167
6 Ti 0.667 0.333 0.833
7 P 0.000 0.000 0.231
8 P 0.000 0.000 0.769
9 P 0.333 0.667 0.435
10 P 0.333 0.667 0.898
11 P 0.667 0.333 0.102
12 P 0.667 0.333 0.565

Computed properties:
Volume = 263.2 Å³/cell
Total moment = 0.000 μB/atom
Space group = R-3m (166)
N(E_F) = 2.35 states/eV/f.u.

Stability, lowest: #P

#P
VASP calculation (PBE-GGA) on crystalline AcTlP at its relaxed geometry.

Unit cell a=4.643 b=4.643 c=4.965 alpha=90.00 beta=90.00 gamma=120.00
Element x y z (fractional)
1 Ac 0.000 0.000 0.000
2 Tl 0.333 0.667 0.531
3 P 0.667 0.333 0.284

Computed properties:
Volume = 92.7 Å³/cell
Total moment = 0.000 μB/atom
Space group = P3m1 (156)
N(E_F) = 3.10 states/eV/f.u.

#Q
VASP calculation (PBE-GGA) on crystalline AcTlP at its relaxed geometry.

Unit cell a=4.222 b=4.222 c=13.064 alpha=90.00 beta=90.00 gamma=90.00
Element x y z (fractional)
1 Ac 0.000 0.000 0.000
2 Ac 0.500 0.500 0.500
3 Tl 0.000 0.000 0.740
4 Tl 0.500 0.500 0.240
5 P 0.000 0.000 0.538
6 P 0.500 0.500 0.038

Computed properties:
Volume = 232.9 Å³/cell
Total moment = 0.000 μB/atom
Space group = I4mm (107)
N(E_F) = 1.85 states/eV/f.u.

#R
VASP calculation (PBE-GGA) on crystalline AcTlP at its relaxed geometry.

Unit cell a=4.551 b=7.113 c=7.141 alpha=107.94 beta=90.91 gamma=107.40
Element x y z (fractional)
1 Ac 0.169 0.345 0.233
2 Ac 0.831 0.655 0.767
3 Tl 0.445 0.853 0.192
4 Tl 0.555 0.147 0.808
5 P 0.369 0.750 0.549
6 P 0.631 0.250 0.451

Computed properties:
Volume = 208.3 Å³/cell
Total moment = 0.000 μB/atom
Space group = P-1 (2)
N(E_F) = 1.91 states/eV/f.u.

Stability, lowest: #P

#P
VASP calculation (PBE-GGA) on crystalline AcUP at its relaxed geometry.

Unit cell a=3.931 b=3.931 c=6.860 alpha=90.00 beta=90.00 gamma=120.00
Element x y z (fractional)
1 Ac 0.000 0.000 0.000
2 U 0.333 0.667 0.475
3 P 0.667 0.333 0.703

Computed properties:
Volume = 91.8 Å³/cell
Total moment = 1.311 μB/atom
Space group = P3m1 (156)
N(E_F) = 7.91 states/eV/f.u.

#Q
VASP calculation (PBE-GGA) on crystalline AcUP at its relaxed geometry.

Unit cell a=12.610 b=12.610 c=12.610 alpha=17.94 beta=17.94 gamma=17.94
Element x y z (fractional)
1 Ac 0.115 0.115 0.115
2 Ac 0.885 0.885 0.885
3 U 0.351 0.351 0.351
4 U 0.649 0.649 0.649
5 P 0.271 0.271 0.271
6 P 0.729 0.729 0.729

Computed properties:
Volume = 166.1 Å³/cell
Total moment = 0.001 μB/atom
Space group = R-3m (166)
N(E_F) = 3.86 states/eV/f.u.

#R
VASP calculation (PBE-GGA) on crystalline AcUP at its relaxed geometry.

Unit cell a=3.659 b=3.659 c=12.331 alpha=90.00 beta=90.00 gamma=90.00
Element x y z (fractional)
1 Ac 0.000 0.000 0.000
2 Ac 0.500 0.500 0.500
3 U 0.000 0.000 0.263
4 U 0.500 0.500 0.763
5 P 0.000 0.000 0.665
6 P 0.500 0.500 0.165

Computed properties:
Volume = 165.1 Å³/cell
Total moment = 1.095 μB/atom
Space group = I4mm (107)
N(E_F) = 6.53 states/eV/f.u.

Stability, lowest: #R

#P
VASP calculation (PBE-GGA) on crystalline AcVP2 at its relaxed geometry.

Unit cell a=4.611 b=4.611 c=22.476 alpha=90.00 beta=90.00 gamma=120.00
Element x y z (fractional)
1 Ac 0.000 0.000 0.000
2 Ac 0.333 0.667 0.667
3 Ac 0.667 0.333 0.333
4 V 0.000 0.000 0.500
5 V 0.333 0.667 0.167
6 V 0.667 0.333 0.833
7 P 0.000 0.000 0.400
8 P 0.000 0.000 0.600
9 P 0.333 0.667 0.066
10 P 0.333 0.667 0.267
11 P 0.667 0.333 0.733
12 P 0.667 0.333 0.934

Computed properties:
Volume = 413.8 Å³/cell
Total moment = 0.498 μB/atom
Space group = R-3m (166)
N(E_F) = 5.12 states/eV/f.u.

#Q
VASP calculation (PBE-GGA) on crystalline AcVP2 at its relaxed geometry.

Unit cell a=3.296 b=3.296 c=6.874 alpha=90.00 beta=90.00 gamma=90.00
Element x y z (fractional)
1 Ac 0.000 0.000 0.000
2 V 0.000 0.000 0.500
3 P 0.500 0.500 0.318
4 P 0.500 0.500 0.682

Computed properties:
Volume = 74.7 Å³/cell
Total moment = 0.000 μB/atom
Space group = P4/mmm (123)
N(E_F) = 3.38 states/eV/f.u.

Stability, lowest: #P